Record 1
Density functional theory data (PBE+U) for K2MnCdF6 after structural relaxation.

Computed properties:
- total DFT energy (no corrections) (eV/atom) = -4.79

The structure in CIF format:
```
data_K2MnCdF6
_space_group_name_H-M_alt 'F m -3 m'
_space_group_IT_number 225
_space_group_name_Hall '-F 4 2 3'
_cell_length_a 8.7203
_cell_length_b 8.7203
_cell_length_c 8.7203
_cell_angle_alpha 90.00
_cell_angle_beta 90.00
_cell_angle_gamma 90.00
loop_
_atom_site_label
_atom_site_fract_x
_atom_site_fract_y
_atom_site_fract_z
K1 0.2500 0.2500 0.2500
Mn1 0.0000 0.0000 0.0000
Cd1 0.0000 0.0000 0.5000
F1 0.0000 0.0000 0.2432
```

Record 2
Density functional theory data (PBE+U) for KMn2CdF8 after structural relaxation.

Computed properties:
- total DFT energy (no corrections) (eV/atom) = -5.13

The structure in CIF format:
```
data_KMn2CdF8
_space_group_name_H-M_alt 'P -1'
_space_group_IT_number 2
_cell_length_a 5.2066
_cell_length_b 5.2204
_cell_length_c 6.8486
_cell_angle_alpha 88.27
_cell_angle_beta 88.24
_cell_angle_gamma 87.64
loop_
_space_group_symop_operation_xyz
'x,y,z'
'-x,-y,-z'
loop_
_atom_site_label
_atom_site_fract_x
_atom_site_fract_y
_atom_site_fract_z
K1 0.0000 0.0000 0.0000
Mn1 0.4965 0.4963 0.2525
Cd1 0.0000 0.0000 0.5000
F1 0.2281 0.7709 0.7218
F2 0.2341 0.7763 0.2779
F3 0.3123 0.3160 0.4856
F4 0.3332 0.3389 0.9861
```